# 1
DFT (PBE) results for an optimized crystal structure of TlB.

The structure in CIF format:
```
data_TlB
_chemical_formula_sum 'Tl16 B16'
_symmetry_space_group_name_H-M 'F d d d'
_symmetry_Int_Tables_number 70
_cell_length_a 7.473
_cell_length_b 8.491
_cell_length_c 11.033
_cell_angle_alpha 90.00
_cell_angle_beta 90.00
_cell_angle_gamma 90.00
loop_
_symmetry_equiv_pos_as_xyz
'x,y,z'
'-x,-y,-z'
'-x+1/4,-y+1/4,z'
'x+1/4,y+1/4,-z'
'x,-y+1/4,-z+1/4'
'-x,y+1/4,z+1/4'
'-x+1/4,y,-z+1/4'
'x+1/4,-y,z+1/4'
'x,y+1/2,z+1/2'
'-x,-y+1/2,-z+1/2'
'-x+1/4,-y+3/4,z+1/2'
'x+1/4,y+3/4,-z+1/2'
'x,-y+3/4,-z+3/4'
'-x,y+3/4,z+3/4'
'-x+1/4,y+1/2,-z+3/4'
'x+1/4,-y+1/2,z+3/4'
'x+1/2,y,z+1/2'
'-x+1/2,-y,-z+1/2'
'-x+3/4,-y+1/4,z+1/2'
'x+3/4,y+1/4,-z+1/2'
'x+1/2,-y+1/4,-z+3/4'
'-x+1/2,y+1/4,z+3/4'
'-x+3/4,y,-z+3/4'
'x+3/4,-y,z+3/4'
'x+1/2,y+1/2,z'
'-x+1/2,-y+1/2,-z'
'-x+3/4,-y+3/4,z'
'x+3/4,y+3/4,-z'
'x+1/2,-y+3/4,-z+1/4'
'-x+1/2,y+3/4,z+1/4'
'-x+3/4,y+1/2,-z+1/4'
'x+3/4,-y+1/2,z+1/4'
loop_
_atom_site_label
_atom_site_type_symbol
_atom_site_fract_x
_atom_site_fract_y
_atom_site_fract_z
Tl1 Tl 0.125 0.125 0.367
B1 B 0.125 0.031 0.125
```

Calculated values
- Raw total energy: -3.64 eV/atom
- DOS(E_F): 0.153 states/eV per atom
- Total magnetization: 0.000 Bohr magnetons per cell
- ρ: 8.2 g/cm3
- Formation energy: 1.772 eV per formula unit



# 2
DFT (PBE) results for an optimized crystal structure of NaPmInSi.

The structure in CIF format:
```
data_NaPmInSi
_chemical_formula_sum 'Na4 Pm4 In4 Si4'
_symmetry_space_group_name_H-M 'F -4 3 m'
_symmetry_Int_Tables_number 216
_symmetry_space_group_name_Hall 'F -4 2 3'
_cell_length_a 7.331
_cell_length_b 7.331
_cell_length_c 7.331
_cell_angle_alpha 90.00
_cell_angle_beta 90.00
_cell_angle_gamma 90.00
loop_
_atom_site_label
_atom_site_type_symbol
_atom_site_fract_x
_atom_site_fract_y
_atom_site_fract_z
Na1 Na 0.000 0.000 0.000
Pm1 Pm 0.000 0.000 0.500
In1 In 0.250 0.250 0.250
Si1 Si 0.250 0.250 0.750
```

Calculated values
- Raw total energy: -3.69 eV/atom
- DOS(E_F): 0.495 states/eV per atom
- Total magnetization: 0.000 Bohr magnetons per cell
- ρ: 5.2 g/cm3
- ΔE_f (raw): -0.130 eV per atom